No. 1
# Zr2SiGeTe2 PBE relaxed
data_Zr2SiGeTe2
_symmetry_space_group_name_H-M 'P 1'
_symmetry_Int_Tables_number 1
_symmetry_space_group_name_Hall 'P 1'
_cell_length_a 3.754
_cell_length_b 3.754
_cell_length_c 9.551
_cell_angle_alpha 90.00
_cell_angle_beta 90.00
_cell_angle_gamma 90.00
loop_
_atom_site_label
_atom_site_type_symbol
_atom_site_fract_x
_atom_site_fract_y
_atom_site_fract_z
Ge1 Ge 0.000 0.000 0.000
Si1 Si 0.500 0.500 0.000
Te1 Te 0.000 0.500 0.360
Te2 Te 0.500 0.000 0.640
Zr1 Zr 0.500 0.000 0.225
Zr2 Zr 0.000 0.500 0.775
# **DFT total energy**: -38.16 eV/cell
# **Spin magnetization**: 0.002 μB/f.u.
# **SG**: P-4m2 (115)

No. 2
# LiNdHo PBE relaxed
data_LiNdHo
_symmetry_space_group_name_H-M 'P 1'
_symmetry_Int_Tables_number 1
_symmetry_space_group_name_Hall 'P 1'
_cell_length_a 5.089
_cell_length_b 5.089
_cell_length_c 5.089
_cell_angle_alpha 60.00
_cell_angle_beta 60.00
_cell_angle_gamma 60.00
loop_
_atom_site_label
_atom_site_type_symbol
_atom_site_fract_x
_atom_site_fract_y
_atom_site_fract_z
Ho1 Ho 0.500 0.500 0.500
Li1 Li 0.250 0.250 0.250
Nd1 Nd 0.000 0.000 0.000
# **Spin magnetization**: 0.111 μB/f.u.
# **SG**: F-43m (216)
# **Offset from the most stable computed form**: 0 meV/atom

No. 3
# RbPa PBE relaxed
data_RbPa
_symmetry_space_group_name_H-M 'P 1'
_symmetry_Int_Tables_number 1
_symmetry_space_group_name_Hall 'P 1'
_cell_length_a 3.283
_cell_length_b 3.283
_cell_length_c 7.394
_cell_angle_alpha 90.00
_cell_angle_beta 90.00
_cell_angle_gamma 120.00
loop_
_atom_site_label
_atom_site_type_symbol
_atom_site_fract_x
_atom_site_fract_y
_atom_site_fract_z
Pa1 Pa 0.667 0.333 0.750
Rb1 Rb 0.333 0.667 0.250
# **Spin magnetization**: 0.483 μB/f.u.
# **SG**: P-6m2 (187)
# **Offset from the most stable computed form**: 0 meV/atom

No. 4
# Lu4SiPC2 PBE relaxed
data_Lu4SiPC2
_symmetry_space_group_name_H-M 'P 1'
_symmetry_Int_Tables_number 1
_symmetry_space_group_name_Hall 'P 1'
_cell_length_a 3.514
_cell_length_b 3.514
_cell_length_c 13.824
_cell_angle_alpha 90.00
_cell_angle_beta 90.00
_cell_angle_gamma 120.00
loop_
_atom_site_label
_atom_site_type_symbol
_atom_site_fract_x
_atom_site_fract_y
_atom_site_fract_z
C1 C 0.333 0.667 0.260
C2 C 0.333 0.667 0.740
Lu1 Lu 0.667 0.333 0.166
Lu2 Lu 0.000 0.000 0.356
Lu3 Lu 0.000 0.000 0.644
Lu4 Lu 0.667 0.333 0.834
P1 P 0.667 0.333 0.500
Si1 Si 0.000 0.000 0.000
# **DFT total energy**: -52.20 eV/cell
# **Spin magnetization**: 0.009 μB/f.u.
# **SG**: P-6m2 (187)

No. 5
# SmYPt2 PBE relaxed
data_SmYPt2
_symmetry_space_group_name_H-M 'P 1'
_symmetry_Int_Tables_number 1
_symmetry_space_group_name_Hall 'P 1'
_cell_length_a 4.539
_cell_length_b 5.644
_cell_length_c 5.644
_cell_angle_alpha 39.25
_cell_angle_beta 90.00
_cell_angle_gamma 90.00
loop_
_atom_site_label
_atom_site_type_symbol
_atom_site_fract_x
_atom_site_fract_y
_atom_site_fract_z
Pt1 Pt 0.000 0.087 0.087
Pt2 Pt 0.500 0.912 0.912
Sm1 Sm 0.500 0.638 0.638
Y1 Y 0.000 0.362 0.362
# **Energy relative to the elements**: -1.22 eV per atom
# **Spin magnetization**: 0.009 μB/f.u.
# **SG**: Amm2 (38)

No. 6
# LiGdTl PBE relaxed
data_LiGdTl
_symmetry_space_group_name_H-M 'P 1'
_symmetry_Int_Tables_number 1
_symmetry_space_group_name_Hall 'P 1'
_cell_length_a 4.911
_cell_length_b 4.911
_cell_length_c 3.496
_cell_angle_alpha 90.00
_cell_angle_beta 90.00
_cell_angle_gamma 120.00
loop_
_atom_site_label
_atom_site_type_symbol
_atom_site_fract_x
_atom_site_fract_y
_atom_site_fract_z
Gd1 Gd 0.333 0.667 0.333
Li1 Li 0.667 0.333 0.833
Tl1 Tl 0.000 0.000 0.834
# **Spin magnetization**: 0.029 μB/f.u.
# **SG**: P-6m2 (187)
# **Offset from the most stable computed form**: 0 meV/atom

No. 7
# LiAl2Ni PBE relaxed
data_LiAl2Ni
_symmetry_space_group_name_H-M 'P 1'
_symmetry_Int_Tables_number 1
_symmetry_space_group_name_Hall 'P 1'
_cell_length_a 4.149
_cell_length_b 5.856
_cell_length_c 12.456
_cell_angle_alpha 90.00
_cell_angle_beta 90.00
_cell_angle_gamma 90.00
loop_
_atom_site_label
_atom_site_type_symbol
_atom_site_fract_x
_atom_site_fract_y
_atom_site_fract_z
Al1 Al 0.500 0.250 0.000
Al2 Al 0.500 0.750 0.000
Al3 Al 0.000 0.250 0.167
Al4 Al 0.000 0.750 0.167
Al5 Al 0.500 0.250 0.333
Al6 Al 0.500 0.750 0.333
Al7 Al 0.000 0.250 0.500
Al8 Al 0.000 0.750 0.500
Al9 Al 0.500 0.250 0.667
Al10 Al 0.500 0.750 0.667
Al11 Al 0.000 0.250 0.833
Al12 Al 0.000 0.750 0.833
Li1 Li 0.000 0.000 0.000
Li2 Li 0.500 0.500 0.167
Li3 Li 0.000 0.000 0.333
Li4 Li 0.500 0.500 0.500
Li5 Li 0.000 0.000 0.667
Li6 Li 0.500 0.500 0.833
Ni1 Ni 0.000 0.500 0.000
Ni2 Ni 0.500 0.000 0.167
Ni3 Ni 0.000 0.500 0.333
Ni4 Ni 0.500 0.000 0.500
Ni5 Ni 0.000 0.500 0.667
Ni6 Ni 0.500 0.000 0.833
# **DFT total energy**: -101.10 eV/cell
# **Spin magnetization**: 0.000 μB/f.u.
# **SG**: I4/mmm (139)

No. 8
# CoReGeMo PBE relaxed
data_CoReGeMo
_symmetry_space_group_name_H-M 'P 1'
_symmetry_Int_Tables_number 1
_symmetry_space_group_name_Hall 'P 1'
_cell_length_a 4.300
_cell_length_b 4.300
_cell_length_c 4.300
_cell_angle_alpha 60.00
_cell_angle_beta 60.00
_cell_angle_gamma 60.00
loop_
_atom_site_label
_atom_site_type_symbol
_atom_site_fract_x
_atom_site_fract_y
_atom_site_fract_z
Co1 Co 0.750 0.750 0.750
Ge1 Ge 0.000 0.000 0.000
Mo1 Mo 0.500 0.500 0.500
Re1 Re 0.250 0.250 0.250
# **Spin magnetization**: 1.834 μB/f.u.
# **SG**: F-43m (216)
# **Offset from the most stable computed form**: 0 meV/atom

No. 9
# Nd5TlIn4 PBE relaxed
data_Nd5TlIn4
_symmetry_space_group_name_H-M 'P 1'
_symmetry_Int_Tables_number 1
_symmetry_space_group_name_Hall 'P 1'
_cell_length_a 3.875
_cell_length_b 3.875
_cell_length_c 19.357
_cell_angle_alpha 90.00
_cell_angle_beta 90.00
_cell_angle_gamma 90.00
loop_
_atom_site_label
_atom_site_type_symbol
_atom_site_fract_x
_atom_site_fract_y
_atom_site_fract_z
In1 In 0.000 0.000 0.202
In2 In 0.000 0.000 0.401
In3 In 0.000 0.000 0.599
In4 In 0.000 0.000 0.798
Nd1 Nd 0.500 0.500 0.102
Nd2 Nd 0.500 0.500 0.301
Nd3 Nd 0.500 0.500 0.500
Nd4 Nd 0.500 0.500 0.699
Nd5 Nd 0.500 0.500 0.898
Tl1 Tl 0.000 0.000 0.000
# **DFT total energy**: -41.89 eV/cell
# **Spin magnetization**: 0.001 μB/f.u.
# **SG**: P4/mmm (123)

No. 10
# Er2Tm2Mg PBE relaxed
data_Er2Tm2Mg
_symmetry_space_group_name_H-M 'P 1'
_symmetry_Int_Tables_number 1
_symmetry_space_group_name_Hall 'P 1'
_cell_length_a 9.053
_cell_length_b 9.053
_cell_length_c 3.623
_cell_angle_alpha 90.00
_cell_angle_beta 90.00
_cell_angle_gamma 90.00
loop_
_atom_site_label
_atom_site_type_symbol
_atom_site_fract_x
_atom_site_fract_y
_atom_site_fract_z
Er1 Er 0.328 0.172 0.500
Er2 Er 0.828 0.328 0.500
Er3 Er 0.172 0.672 0.500
Er4 Er 0.672 0.828 0.500
Mg1 Mg 0.000 0.000 0.000
Mg2 Mg 0.500 0.500 0.000
Tm1 Tm 0.628 0.128 0.000
Tm2 Tm 0.128 0.372 0.000
Tm3 Tm 0.872 0.628 0.000
Tm4 Tm 0.372 0.872 0.000
# **DFT total energy**: -37.22 eV/cell
# **Spin magnetization**: 0.000 μB/f.u.
# **SG**: P4/mbm (127)

No. 11
# Sc4Sb3Mo2C3 PBE relaxed
data_Sc4Sb3Mo2C3
_symmetry_space_group_name_H-M 'P 1'
_symmetry_Int_Tables_number 1
_symmetry_space_group_name_Hall 'P 1'
_cell_length_a 5.788
_cell_length_b 5.788
_cell_length_c 14.060
_cell_angle_alpha 101.29
_cell_angle_beta 101.29
_cell_angle_gamma 60.38
loop_
_atom_site_label
_atom_site_type_symbol
_atom_site_fract_x
_atom_site_fract_y
_atom_site_fract_z
C1 C 0.000 0.500 0.000
C2 C 0.343 0.814 0.000
C3 C 0.186 0.657 0.500
C4 C 0.500 0.000 0.500
C5 C 0.814 0.343 0.500
C6 C 0.657 0.186 0.000
Mo1 Mo 0.343 0.523 0.075
Mo2 Mo 0.477 0.657 0.425
Mo3 Mo 0.523 0.343 0.575
Mo4 Mo 0.657 0.477 0.925
Sb1 Sb 0.415 0.267 0.249
Sb2 Sb 0.112 0.888 0.250
Sb3 Sb 0.733 0.585 0.251
Sb4 Sb 0.267 0.415 0.749
Sb5 Sb 0.888 0.112 0.750
Sb6 Sb 0.585 0.733 0.751
Sc1 Sc 0.036 0.187 0.089
Sc2 Sc 0.695 0.871 0.089
Sc3 Sc 0.129 0.305 0.411
Sc4 Sc 0.813 0.964 0.411
Sc5 Sc 0.187 0.036 0.589
Sc6 Sc 0.871 0.695 0.589
Sc7 Sc 0.305 0.129 0.911
Sc8 Sc 0.964 0.813 0.911
# **DFT total energy**: -186.78 eV/cell
# **Spin magnetization**: 0.001 μB/f.u.
# **SG**: C2/c (15)

No. 12
# BeTlNi PBE relaxed
data_BeTlNi
_symmetry_space_group_name_H-M 'P 1'
_symmetry_Int_Tables_number 1
_symmetry_space_group_name_Hall 'P 1'
_cell_length_a 4.168
_cell_length_b 4.168
_cell_length_c 4.168
_cell_angle_alpha 60.00
_cell_angle_beta 60.00
_cell_angle_gamma 60.00
loop_
_atom_site_label
_atom_site_type_symbol
_atom_site_fract_x
_atom_site_fract_y
_atom_site_fract_z
Be1 Be 0.250 0.250 0.250
Ni1 Ni 0.750 0.750 0.750
Tl1 Tl 0.000 0.000 0.000
# **Spin magnetization**: 0.006 μB/f.u.
# **SG**: F-43m (216)
# **Offset from the most stable computed form**: 333 meV/atom

No. 13
# BaAu2 PBE relaxed
data_BaAu2
_symmetry_space_group_name_H-M 'P 1'
_symmetry_Int_Tables_number 1
_symmetry_space_group_name_Hall 'P 1'
_cell_length_a 5.315
_cell_length_b 5.315
_cell_length_c 5.315
_cell_angle_alpha 60.00
_cell_angle_beta 60.00
_cell_angle_gamma 60.00
loop_
_atom_site_label
_atom_site_type_symbol
_atom_site_fract_x
_atom_site_fract_y
_atom_site_fract_z
Au1 Au 0.250 0.250 0.250
Au2 Au 0.750 0.750 0.750
Ba1 Ba 0.000 0.000 0.000
# **DFT total energy**: -9.68 eV/cell
# **SG**: Fm-3m (225)

No. 14
# Ho2Br PBE relaxed
data_Ho2Br
_symmetry_space_group_name_H-M 'P 1'
_symmetry_Int_Tables_number 1
_symmetry_space_group_name_Hall 'P 1'
_cell_length_a 8.901
_cell_length_b 8.901
_cell_length_c 8.901
_cell_angle_alpha 60.00
_cell_angle_beta 60.00
_cell_angle_gamma 60.00
loop_
_atom_site_label
_atom_site_type_symbol
_atom_site_fract_x
_atom_site_fract_y
_atom_site_fract_z
Br1 Br 0.250 0.250 0.250
Br2 Br 0.500 0.500 0.500
Ho1 Ho 0.875 0.375 0.375
Ho2 Ho 0.375 0.875 0.375
Ho3 Ho 0.375 0.375 0.375
Ho4 Ho 0.375 0.375 0.875
# **Spin magnetization**: 1.063 μB/f.u.
# **SG**: Fd-3m (227)
# **Offset from the most stable computed form**: 1153 meV/atom

No. 15
# SmDyInCo2 PBE relaxed
data_SmDyInCo2
_symmetry_space_group_name_H-M 'P 1'
_symmetry_Int_Tables_number 1
_symmetry_space_group_name_Hall 'P 1'
_cell_length_a 3.940
_cell_length_b 7.214
_cell_length_c 7.214
_cell_angle_alpha 30.62
_cell_angle_beta 90.00
_cell_angle_gamma 90.00
loop_
_atom_site_label
_atom_site_type_symbol
_atom_site_fract_x
_atom_site_fract_y
_atom_site_fract_z
Co1 Co 0.000 0.210 0.210
Co2 Co 0.000 0.794 0.794
Dy1 Dy 0.500 0.360 0.360
In1 In 0.000 0.997 0.997
Sm1 Sm 0.500 0.638 0.638
# **DFT total energy**: -27.83 eV/cell
# **Spin magnetization**: 1.265 μB/f.u.
# **SG**: Amm2 (38)

No. 16
# NdDy2Se3 PBE relaxed
data_NdDy2Se3
_symmetry_space_group_name_H-M 'P 1'
_symmetry_Int_Tables_number 1
_symmetry_space_group_name_Hall 'P 1'
_cell_length_a 4.101
_cell_length_b 4.101
_cell_length_c 10.170
_cell_angle_alpha 90.00
_cell_angle_beta 90.00
_cell_angle_gamma 120.00
loop_
_atom_site_label
_atom_site_type_symbol
_atom_site_fract_x
_atom_site_fract_y
_atom_site_fract_z
Dy1 Dy 0.333 0.667 0.164
Dy2 Dy 0.667 0.333 0.836
Nd1 Nd 0.000 0.000 0.500
Se1 Se 0.000 0.000 0.000
Se2 Se 0.667 0.333 0.321
Se3 Se 0.333 0.667 0.679
# **DFT total energy**: -35.11 eV/cell
# **Spin magnetization**: 0.001 μB/f.u.
# **SG**: P-3m1 (164)

No. 17
# NdGeAu PBE relaxed
data_NdGeAu
_symmetry_space_group_name_H-M 'P 1'
_symmetry_Int_Tables_number 1
_symmetry_space_group_name_Hall 'P 1'
_cell_length_a 8.024
_cell_length_b 8.024
_cell_length_c 3.828
_cell_angle_alpha 90.00
_cell_angle_beta 90.00
_cell_angle_gamma 120.00
loop_
_atom_site_label
_atom_site_type_symbol
_atom_site_fract_x
_atom_site_fract_y
_atom_site_fract_z
Au1 Au 0.626 0.000 0.000
Au2 Au 0.374 0.374 0.000
Au3 Au 0.000 0.626 0.000
Ge1 Ge 0.000 0.000 0.000
Ge2 Ge 0.667 0.333 0.500
Ge3 Ge 0.333 0.667 0.500
Nd1 Nd 0.283 0.000 0.500
Nd2 Nd 0.000 0.283 0.500
Nd3 Nd 0.717 0.717 0.500
# **DFT total energy**: -42.16 eV/cell
# **Spin magnetization**: 0.000 μB/f.u.
# **SG**: P-62m (189)

No. 18
# TaNbGaCu PBE relaxed
data_TaNbGaCu
_symmetry_space_group_name_H-M 'P 1'
_symmetry_Int_Tables_number 1
_symmetry_space_group_name_Hall 'P 1'
_cell_length_a 4.523
_cell_length_b 4.523
_cell_length_c 4.523
_cell_angle_alpha 60.00
_cell_angle_beta 60.00
_cell_angle_gamma 60.00
loop_
_atom_site_label
_atom_site_type_symbol
_atom_site_fract_x
_atom_site_fract_y
_atom_site_fract_z
Cu1 Cu 0.750 0.750 0.750
Ga1 Ga 0.000 0.000 0.000
Nb1 Nb 0.250 0.250 0.250
Ta1 Ta 0.500 0.500 0.500
# **Spin magnetization**: 0.271 μB/f.u.
# **SG**: F-43m (216)
# **Offset from the most stable computed form**: 0 meV/atom

No. 19
# Hf2SbIr PBE relaxed
data_Hf2SbIr
_symmetry_space_group_name_H-M 'P 1'
_symmetry_Int_Tables_number 1
_symmetry_space_group_name_Hall 'P 1'
_cell_length_a 4.793
_cell_length_b 4.793
_cell_length_c 4.793
_cell_angle_alpha 60.00
_cell_angle_beta 60.00
_cell_angle_gamma 60.00
loop_
_atom_site_label
_atom_site_type_symbol
_atom_site_fract_x
_atom_site_fract_y
_atom_site_fract_z
Hf1 Hf 0.000 0.000 0.000
Hf2 Hf 0.750 0.750 0.750
Ir1 Ir 0.250 0.250 0.250
Sb1 Sb 0.500 0.500 0.500
# **DFT total energy**: -33.02 eV/cell
# **Spin magnetization**: 2.061 μB/f.u.
# **SG**: F-43m (216)

No. 20
# RbOs PBE relaxed
data_RbOs
_symmetry_space_group_name_H-M 'P 1'
_symmetry_Int_Tables_number 1
_symmetry_space_group_name_Hall 'P 1'
_cell_length_a 5.574
_cell_length_b 5.574
_cell_length_c 5.574
_cell_angle_alpha 60.00
_cell_angle_beta 60.00
_cell_angle_gamma 60.00
loop_
_atom_site_label
_atom_site_type_symbol
_atom_site_fract_x
_atom_site_fract_y
_atom_site_fract_z
Os1 Os 0.000 0.000 0.000
Rb1 Rb 0.250 0.250 0.250
# **Spin magnetization**: 3.000 μB/f.u.
# **SG**: F-43m (216)
# **Offset from the most stable computed form**: 1666 meV/atom